Below is Sr2ZnI2O2 after structural relaxation, with properties calculated at the PBE-GGA level.

```
Sr2ZnI2O2
1.0
-2.084 2.084 10.502
2.084 -2.084 10.502
2.084 2.084 -10.502
Sr Zn I O
2 1 2 2
Direct
0.078 0.078 0.000
0.922 0.922 0.000
0.500 0.500 0.000
0.341 0.341 0.000
0.659 0.659 0.000
0.000 0.500 0.500
0.500 0.000 0.500
```



Below is SrZnI2O after structural relaxation, with properties calculated at the PBE-GGA level.

```
SrZnI2O
1.0
5.891 0.000 0.000
0.000 5.891 0.000
0.000 0.000 3.849
Sr Zn I O
1 1 2 1
Direct
0.000 0.000 0.000
0.500 0.500 0.500
0.000 0.500 0.500
0.500 0.000 0.500
0.500 0.500 0.000
```

Output
Its polymorph energy (0 for the lowest one) is 0 meV/atom.



Below is Sr2ZnIO after structural relaxation, with properties calculated at the PBE-GGA level.

```
Sr2ZnIO
1.0
4.953 0.000 0.000
0.000 4.953 0.000
0.000 0.000 6.153
Sr Zn I O
2 1 1 1
Direct
0.000 0.500 0.000
0.500 0.000 0.000
0.000 0.000 0.500
0.500 0.500 0.500
0.500 0.500 0.000
```



What did we get for formation energy (no corrections)? Answer: -1.913, -1.023, -1.036 eV/atom, in the order shown.
What did we get for spin magnetization? Answer: 0.00, 0.06, 0.00 μB per cell, in the order shown.
What did we get for VASP energy? Answer: -4.435, -3.226, -3.265 eV/atom, in the order shown.